[1]
DFT (PBE) results for an optimized crystal structure of BeOs3.

Cell and atoms, written as POSCAR:
```
BeOs3
1.0
-1.886 1.886 7.538
1.886 -1.886 7.538
1.886 1.886 -7.538
Be Os
2 6
Cartesian
0.000 0.000 9.317 Be
0.000 0.000 5.758 Be
1.886 0.000 0.000 Os
0.000 1.886 0.000 Os
0.000 1.886 3.769 Os
1.886 0.000 3.769 Os
0.000 0.000 13.188 Os
0.000 0.000 1.887 Os
```

Computed properties:
calculated volume = 107.26 Å³ per cell
DOS at the Fermi energy = 8.72 states/eV per cell
energy above the lowest structure with this stoichiometry = 354 meV per atom
formation enthalpy at 0 K = 0.346 eV/atom
magnetic moment = 0.000 Bohr magnetons per cell

[2]
DFT (PBE) results for an optimized crystal structure of Be2Os.

Cell and atoms, written as POSCAR:
```
Be2Os
1.0
-4.208 -0.571 1.199
-2.637 -3.287 1.312
-0.116 0.141 4.987
Be Os
4 2
Cartesian
-1.276 -0.583 3.745 Be
-5.685 -3.135 3.753 Be
-3.423 -1.929 1.255 Be
-3.480 -1.859 3.749 Be
-0.971 -0.506 1.342 Os
-5.989 -3.211 6.156 Os
```

Computed properties:
calculated volume = 61.43 Å³ per cell
DOS at the Fermi energy = 1.71 states/eV per cell
energy above the lowest structure with this stoichiometry = 90 meV per atom
formation enthalpy at 0 K = -0.187 eV/atom
magnetic moment = 0.000 Bohr magnetons per cell

[3]
DFT (PBE) results for an optimized crystal structure of Be5Os.

Cell and atoms, written as POSCAR:
```
Be5Os
1.0
-4.085 -1.389 -0.840
-1.581 -3.913 -1.230
-2.383 -2.821 2.954
Be Os
5 1
Cartesian
-7.834 -7.912 0.904 Be
-2.658 -2.717 0.516 Be
-5.531 -5.643 1.011 Be
-4.382 -4.284 -0.413 Be
-6.601 -6.452 -0.624 Be
-3.849 -4.127 1.993 Os
```

Computed properties:
calculated volume = 54.91 Å³ per cell
DOS at the Fermi energy = 1.06 states/eV per cell
formation enthalpy at 0 K = -0.246 eV/atom
magnetic moment = 0.000 Bohr magnetons per cell